Record 1
A plane-wave DFT calculation with PBE-GGA was carried out for a relaxed CeHo2Hg crystal.

Cell and atoms, written as CIF:
```
data_CeHo2Hg
_space_group_name_H-M_alt 'P 1'
_space_group_IT_number 1
_space_group_name_Hall 'P 1'
_cell_length_a 3.576
_cell_length_b 3.576
_cell_length_c 10.782
_cell_angle_alpha 80.45
_cell_angle_beta 80.45
_cell_angle_gamma 60.00
loop_
_atom_site_label
_atom_site_type_symbol
_atom_site_fract_x
_atom_site_fract_y
_atom_site_fract_z
Ho1 Ho 0.076 0.076 0.773
Ho2 Ho 0.258 0.258 0.227
Hg1 Hg 0.666 0.666 0.001
Ce1 Ce 0.500 0.500 0.500
```

Properties
Energy above the most stable polymorph in this dataset   92.0 meV per atom
Mass density   9.5 g/cm3
E   -3.95 eV/atom
Space-group type   R3m



Record 2
A plane-wave DFT calculation with PBE-GGA was carried out for a relaxed LaPuTl6 crystal.

Cell and atoms, written as CIF:
```
data_LaPuTl6
_space_group_name_H-M_alt 'P 1'
_space_group_IT_number 1
_space_group_name_Hall 'P 1'
_cell_length_a 4.834
_cell_length_b 4.834
_cell_length_c 9.706
_cell_angle_alpha 90.00
_cell_angle_beta 90.00
_cell_angle_gamma 90.00
loop_
_atom_site_label
_atom_site_type_symbol
_atom_site_fract_x
_atom_site_fract_y
_atom_site_fract_z
Tl1 Tl 0.000 0.500 0.255
La1 La 0.000 0.000 0.000
Tl2 Tl 0.000 0.500 0.745
Tl3 Tl 0.500 0.000 0.255
Tl4 Tl 0.500 0.000 0.745
Pu1 Pu 0.000 0.000 0.500
Tl5 Tl 0.500 0.500 0.000
Tl6 Tl 0.500 0.500 0.500
```

Properties
Mass density   11.8 g/cm3
E   -4.37 eV/atom
Space-group type   P4/mmm



Number 1: size of the total moment 1.52 μB/f.u., DFT formation energy -0.10 eV per atom, DOS(E_F) 1.7832 states/eV/atom. Number 2: size of the total moment 5.66 μB/f.u., DFT formation energy -0.19 eV per atom, DOS(E_F) 2.1347 states/eV/atom.